Record 1
First-principles (PBE) data for a relaxed structure of KBaGaHg, as listed in the Alexandria database.

Calculated volume, A^3/atom: 35.03
ΔH_f (0 K), eV/f.u.: -0.71
Space group: F-43m

Cell: 5.830 5.830 5.830 Å, 60.00 60.00 60.00°
Sites, in units of the cell vectors:
K: 0.000 0.000 0.000
Ba: 0.500 0.500 0.500
Ga: 0.250 0.250 0.250
Hg: 0.750 0.750 0.750

=====

Record 2
First-principles (PBE) data for a relaxed structure of Er9Tm3Th2, as listed in the Alexandria database.

Calculated volume, A^3/atom: 30.82
ΔH_f (0 K), eV/f.u.: 0.43
Space group: Cm

Cell: 9.314 9.314 11.132 Å, 118.51 118.51 30.96°
Sites, in units of the cell vectors:
Er: 0.000 0.000 0.000
Er: 0.073 0.073 0.358
Er: 0.217 0.217 0.073
Er: 0.288 0.288 0.430
Er: 0.501 0.501 0.500
Er: 0.571 0.571 0.857
Er: 0.715 0.715 0.572
Er: 0.858 0.858 0.285
Er: 0.930 0.930 0.645
Tm: 0.146 0.146 0.716
Tm: 0.643 0.643 0.213
Tm: 0.788 0.788 0.930
Th: 0.359 0.359 0.787
Th: 0.430 0.430 0.142

=====

no.,energy (eV/atom)
1,-1.7652
2,-4.9208